Entry one
Compound: SrAl2In
Source: Alexandria
Functional: meta-GGA SCAN
Structure: single point on PBEsol structure

The space group is C2/m (No. 12) and the conventional cell measures 7.942, 4.573 and 6.301 Å, with angles of 90.00, 114.70 and 90.00 degrees. Symmetry generates all atoms from Sr at (0.000, 0.000, 0.000), Al at (0.218, 0.000, 0.653) and In at (0.000, 0.500, 0.500).



Entry two
Compound: SrAl2In
Source: Alexandria
Functional: meta-GGA SCAN
Structure: single point on PBEsol structure

The space group is I-42d (No. 122) and the conventional cell measures 5.025, 5.025 and 19.083 Å, with angles of 90.00, 90.00 and 90.00 degrees. Symmetry generates all atoms from Sr at (0.000, 0.000, 0.000), Al at (0.044, 0.250, 0.625) and In at (0.000, 0.000, 0.500).



Most stable: entry one. Least stable: entry two.



Entry one
Compound: AlInW2
Source: Alexandria
Functional: meta-GGA SCAN
Structure: single point on PBEsol structure

The space group is F-43m (No. 216) and the conventional cell measures 6.386, 6.386 and 6.386 Å, with angles of 90.00, 90.00 and 90.00 degrees. Symmetry generates all atoms from Al at (0.000, 0.000, 0.000), In at (0.250, 0.250, 0.750), W at (0.000, 0.000, 0.500) and W at (0.250, 0.250, 0.250).



Entry two
Compound: AlInW2
Source: Alexandria
Functional: meta-GGA SCAN
Structure: single point on PBEsol structure

The space group is P2/m (No. 10) and the conventional cell measures 2.786, 4.440 and 5.448 Å, with angles of 90.00, 101.49 and 90.00 degrees. Symmetry generates all atoms from Al at (0.000, 0.000, 0.000), In at (0.500, 0.000, 0.500) and W at (0.260, 0.500, 0.767).



Most stable: entry one. Least stable: entry two.



Entry one
Compound: AlIr5
Source: Alexandria
Functional: meta-GGA SCAN
Structure: single point on PBEsol structure

The space group is Cmmm (No. 65) and the conventional cell measures 3.831, 11.577 and 3.786 Å, with angles of 90.00, 90.00 and 90.00 degrees. Symmetry generates all atoms from Al at (0.000, 0.000, 0.000), Ir at (0.000, 0.166, 0.500), Ir at (0.000, 0.330, 0.000) and Ir at (0.000, 0.500, 0.500).



Entry two
Compound: AlIr5
Source: Alexandria
Functional: meta-GGA SCAN
Structure: single point on PBEsol structure

The space group is P4/mmm (No. 123) and the conventional cell measures 2.732, 2.732 and 11.210 Å, with angles of 90.00, 90.00 and 90.00 degrees. Symmetry generates all atoms from Al at (0.000, 0.000, 0.000), Ir at (0.000, 0.000, 0.331), Ir at (0.500, 0.500, 0.160) and Ir at (0.500, 0.500, 0.500).



Most stable: entry one. Least stable: entry two.